First-principles (PBE) data for crystalline TiBi3P at its relaxed geometry, as listed in Alexandria.

Unit cell a=5.3605 b=5.3605 c=5.3605 alpha=90.00 beta=90.00 gamma=90.00
Site moments in Bohr magnetons follow the coordinates.
Fractional coordinates of all 5 atoms:
Bi  0.5000  0.0000  0.0000  -0.02
Bi  0.0000  0.5000  0.0000  0.00
Bi  0.0000  0.0000  0.5000  -0.07
Ti  0.0000  0.0000  0.0000  0.46
P  0.5000  0.5000  0.5000  0.56

Output
The raw total energy is -4.362 eV per atom. As for the space group: Pm-3m. The density of states at the Fermi level comes out at 3.67 states/eV per cell. For the distance to the lowest polymorph of the same formula, the calculation gives 0.0 kJ/mol of formula units.